## A
10
Lattice="1.8077 -14.8420 0.0000 1.8077 14.8420 0.0000 0.0000 0.0000 4.1846" Properties=species:S:1:pos:R:3 comment="DyTm2Ni2, relaxed, DFT PBE-GGA" volume_a3_per_atom=22.5 magnetic_moment_mub_per_atom=0.0000 crystal_system=orthorhombic rho_g_cm3=9.1 pbc="T T T"
Dy 1.8077 11.1953 3.1384
Dy 1.8077 -11.1953 1.0461
Tm 1.8077 8.4676 1.0461
Tm 1.8077 1.3984 3.1384
Tm 1.8077 -1.3984 1.0461
Tm 1.8077 -8.4676 3.1384
Ni 1.8077 14.0848 3.1384
Ni 1.8077 4.2838 3.1384
Ni 1.8077 -4.2838 1.0461
Ni 1.8077 -14.0848 1.0461

## B
10
Lattice="5.1965 0.0000 0.0000 0.0000 4.3727 0.0000 -1.2563 0.0000 9.9314" Properties=species:S:1:pos:R:3 comment="DyTm2Ni2, relaxed, DFT PBE-GGA" volume_a3_per_atom=22.6 magnetic_moment_mub_per_atom=0.0000 crystal_system=monoclinic rho_g_cm3=9.1 pbc="T T T"
Dy 0.1082 1.0932 2.8502
Dy 3.8320 3.2795 7.0812
Tm 0.1049 1.0932 9.6011
Tm 1.2710 1.0932 6.1340
Tm 2.6692 3.2795 3.7974
Tm 3.8353 3.2795 0.3304
Ni 0.0968 3.2795 4.7131
Ni 1.1807 3.2795 1.3853
Ni 2.7595 1.0932 8.5461
Ni 3.8434 1.0932 5.2184

Taking the most stable structure as the zero point, the relative energies in meV/atom are A 36; B 0.

## A
4
Lattice="3.4374 0.0000 0.0000 0.0000 3.4374 0.0000 0.0000 0.0000 6.9272" Properties=species:S:1:pos:R:3 comment="DyTmZnNi, relaxed, DFT PBE-GGA" volume_a3_per_atom=20.5 magnetic_moment_mub_per_atom=0.0000 crystal_system=tetragonal rho_g_cm3=9.2 pbc="T T T"
Dy 0.0000 0.0000 0.0000
Tm 0.0000 0.0000 3.6864
Zn 1.7187 1.7187 1.8849
Ni 1.7187 1.7187 5.2579

## B
16
Lattice="6.8893 0.0000 0.0000 0.0000 6.8893 0.0000 0.0000 0.0000 6.8893" Properties=species:S:1:pos:R:3 comment="DyTmZnNi, relaxed, DFT PBE-GGA" volume_a3_per_atom=20.4 magnetic_moment_mub_per_atom=0.0000 crystal_system=cubic rho_g_cm3=9.3 pbc="T T T"
Dy 0.0000 0.0000 0.0000
Dy 0.0000 3.4447 3.4447
Dy 3.4447 0.0000 3.4447
Dy 3.4447 3.4447 0.0000
Tm 0.0000 0.0000 3.4447
Tm 0.0000 3.4447 0.0000
Tm 3.4447 0.0000 0.0000
Tm 3.4447 3.4447 3.4447
Zn 1.7223 1.7223 5.1670
Zn 1.7223 5.1670 1.7223
Zn 5.1670 1.7223 1.7223
Zn 5.1670 5.1670 5.1670
Ni 1.7223 1.7223 1.7223
Ni 1.7223 5.1670 5.1670
Ni 5.1670 1.7223 5.1670
Ni 5.1670 5.1670 1.7223

Taking the most stable structure as the zero point, the relative energies in meV/atom are A 0; B 28.

## A
4
Lattice="4.8181 0.0000 0.0000 0.0000 4.8181 0.0000 0.0000 0.0000 3.3306" Properties=species:S:1:pos:R:3 comment="DyYNi2, relaxed, DFT PBE-GGA" volume_a3_per_atom=19.3 magnetic_moment_mub_per_atom=0.0000 crystal_system=tetragonal rho_g_cm3=7.9 pbc="T T T"
Dy 0.0000 0.0000 0.0000
Y 2.4091 2.4091 0.0000
Ni 0.0000 2.4091 1.6653
Ni 2.4091 0.0000 1.6653

## B
8
Lattice="4.1832 0.0000 0.0000 0.0000 3.7674 0.0000 0.0000 0.0000 10.2142" Properties=species:S:1:pos:R:3 comment="DyYNi2, relaxed, DFT PBE-GGA" volume_a3_per_atom=20.1 magnetic_moment_mub_per_atom=0.0000 crystal_system=orthorhombic rho_g_cm3=7.6 pbc="T T T"
Dy 0.0000 0.0000 0.0000
Dy 0.0000 1.8837 5.1071
Y 2.0916 0.0000 7.3618
Y 2.0916 1.8837 2.2547
Ni 0.0000 0.0000 2.9681
Ni 0.0000 1.8837 8.0751
Ni 2.0916 0.0000 4.4251
Ni 2.0916 1.8837 9.5321

Taking the most stable structure as the zero point, the relative energies in meV/atom are A 66; B 0.